Entry 1:
A plane-wave DFT calculation with GGA-PBE was carried out for crystalline Cs2VBrCl5 at its relaxed geometry.

a b c (Å): 7.5491 7.5491 10.4884
angles (deg): 90.00 90.00 90.00
Last column: nearest neighbours and their distance in Å.
Space group I4mm (No. 107)
One atom of each set of equivalent atoms:
1 Cs 0.0000 0.5000 0.0000 (multiplicity 4)  10 Cl 3.76-3.78, 2 Br 3.78
2 V 0.0000 0.0000 0.2482 (multiplicity 2)  5 Cl 2.33, 1 Br 2.52
3 Br 0.0000 0.0000 0.4888 (multiplicity 2)  1 V 2.52
4 Cl 0.0000 0.0000 0.0263 (multiplicity 2)  1 V 2.33
5 Cl 0.2183 0.2183 0.2502 (multiplicity 8)  1 V 2.33

Values from the calculation:
Total energy   -71.048 eV per cell

---

Entry 2:
A plane-wave DFT calculation with GGA-PBE was carried out for crystalline Cs2VBrCl6 at its relaxed geometry.

a b c (Å): 11.2139 11.2139 11.2139
angles (deg): 90.00 90.00 90.00
Last column: nearest neighbours and their distance in Å.
Space group Fm-3m (No. 225)
One atom of each set of equivalent atoms:
1 Cs 0.2500 0.2500 0.2500 (multiplicity 8)  12 Cl 4.00
2 V 0.0000 0.0000 0.0000 (multiplicity 4)  6 Cl 2.31
3 Br 0.0000 0.0000 0.5000 (multiplicity 4)  6 Cl 3.30
4 Cl 0.0000 0.0000 0.2056 (multiplicity 24)  1 V 2.31

Values from the calculation:
Total energy   -145.869 eV per cell

---

Entry 3:
A plane-wave DFT calculation with GGA-PBE was carried out for crystalline Cs2WBr4Cl2 at its relaxed geometry.

a b c (Å): 13.1746 7.5943 6.6002
angles (deg): 90.00 95.23 90.00
Last column: nearest neighbours and their distance in Å.
Space group C2/m (No. 12)
One atom of each set of equivalent atoms:
1 Cs 0.1598 0.0000 0.2653 (multiplicity 4)  3 Cl 3.69-3.81, 8 Br 3.80-4.08
2 W 0.0000 0.5000 0.5000 (multiplicity 2)  2 Cl 2.38, 4 Br 2.57
3 Br 0.0871 0.2605 0.7304 (multiplicity 8)  1 W 2.57
4 Cl 0.1424 0.5000 0.3022 (multiplicity 4)  1 W 2.38

Values from the calculation:
Total energy   -71.307 eV per cell

---

Entry 4:
A plane-wave DFT calculation with GGA-PBE was carried out for crystalline Cs2WBrCl6 at its relaxed geometry.

a b c (Å): 11.4698 11.4698 11.4698
angles (deg): 90.00 90.00 90.00
Last column: nearest neighbours and their distance in Å.
Space group Fm-3m (No. 225)
One atom of each set of equivalent atoms:
1 Cs 0.2500 0.2500 0.2500 (multiplicity 8)  12 Cl 4.09
2 W 0.0000 0.0000 0.0000 (multiplicity 4)  6 Cl 2.36
3 Br 0.0000 0.0000 0.5000 (multiplicity 4)  6 Cl 3.38
4 Cl 0.0000 0.0000 0.2056 (multiplicity 24)  1 W 2.36

Values from the calculation:
Total energy   -157.020 eV per cell

---

Entry 5:
A plane-wave DFT calculation with GGA-PBE was carried out for crystalline Cs2WBr6Cl at its relaxed geometry.

a b c (Å): 11.6647 11.6647 11.6647
angles (deg): 90.00 90.00 90.00
Last column: nearest neighbours and their distance in Å.
Space group Fm-3m (No. 225)
One atom of each set of equivalent atoms:
1 Cs 0.2500 0.2500 0.2500 (multiplicity 8)  12 Br 4.14
2 W 0.0000 0.0000 0.0000 (multiplicity 4)  6 Br 2.53
3 Br 0.0000 0.0000 0.2165 (multiplicity 24)  1 W 2.53
4 Cl 0.0000 0.0000 0.5000 (multiplicity 4)  6 Br 3.31

Values from the calculation:
Total energy   -143.190 eV per cell

---

Entry 6:
A plane-wave DFT calculation with GGA-PBE was carried out for crystalline Cs2YBrCl6 at its relaxed geometry.

a b c (Å): 7.7901 7.7901 12.3824
angles (deg): 90.00 90.00 90.00
Last column: nearest neighbours and their distance in Å.
Space group I4/mmm (No. 139)
One atom of each set of equivalent atoms:
1 Cs 0.0000 0.5000 0.2500 (multiplicity 4)  12 Cl 3.92-4.14
2 Y 0.0000 0.0000 0.0000 (multiplicity 2)  6 Cl 2.62-2.65
3 Br 0.0000 0.0000 0.5000 (multiplicity 2)  4 Cl 2.86
4 Cl 0.0000 0.0000 0.2114 (multiplicity 4)  1 Y 2.62
5 Cl 0.2407 0.2407 0.0000 (multiplicity 8)  1 Y 2.65, 1 Br 2.86

Values from the calculation:
Total energy   -73.735 eV per cell

---

Entry 7:
A plane-wave DFT calculation with GGA-PBE was carried out for crystalline Cs2YBr6Cl at its relaxed geometry.

a b c (Å): 8.0001 8.0001 12.8186
angles (deg): 90.00 90.00 90.00
Last column: nearest neighbours and their distance in Å.
Space group I4/mmm (No. 139)
One atom of each set of equivalent atoms:
1 Cs 0.0000 0.5000 0.2500 (multiplicity 4)  12 Br 4.02-4.27
2 Y 0.0000 0.0000 0.0000 (multiplicity 2)  6 Br 2.78-2.79
3 Br 0.0000 0.0000 0.2165 (multiplicity 4)  1 Y 2.78
4 Br 0.2467 0.2467 0.0000 (multiplicity 8)  1 Y 2.79, 1 Cl 2.87
5 Cl 0.0000 0.0000 0.5000 (multiplicity 2)  4 Br 2.87

Values from the calculation:
Total energy   -66.844 eV per cell

---

Entry 8:
A plane-wave DFT calculation with GGA-PBE was carried out for crystalline Cs2ZnBrCl6 at its relaxed geometry.

a b c (Å): 7.8696 7.8696 10.6240
angles (deg): 90.00 90.00 90.00
Last column: nearest neighbours and their distance in Å.
Space group I4/mmm (No. 139)
One atom of each set of equivalent atoms:
1 Cs 0.0000 0.5000 0.2500 (multiplicity 4)  12 Cl 3.87-3.94
2 Zn 0.0000 0.0000 0.0000 (multiplicity 2)  4 Cl 2.33
3 Br 0.0000 0.0000 0.5000 (multiplicity 2)  2 Cl 2.38
4 Cl 0.0000 0.0000 0.2760 (multiplicity 4)  1 Br 2.38
5 Cl 0.2094 0.2094 0.0000 (multiplicity 8)  1 Zn 2.33

Values from the calculation:
Total energy   -53.348 eV per cell